Record 1
{
  "formula": "Ca3LaAu",
  "functional": "GGA-PBE",
  "state": "relaxed",
  "space_group": "Pm-3m",
  "delta_e_f_ev_per_atom": -0.1903,
  "lattice": [[5.732, 0.000, 0.000], [0.000, 5.732, 0.000], [0.000, 0.000, 5.732]],
  "species": ["Ca", "Ca", "Ca", "La", "Au"],
  "frac_coords": [[0.000, 0.000, 0.500], [0.000, 0.500, 0.000], [0.500, 0.000, 0.000], [0.500, 0.500, 0.500], [0.000, 0.000, 0.000]]
}

=====

Record 2
{
  "formula": "ZnSiP",
  "functional": "GGA-PBE",
  "state": "relaxed",
  "space_group": "F-43m",
  "raw_formation_energy_ev_per_atom": 0.461,
  "e_above_lowest_polymorph_ev_per_atom": 0.597,
  "lattice": [[0.000, 2.997, 2.997], [2.997, 0.000, 2.997], [2.997, 2.997, 0.000]],
  "species": ["Zn", "Si", "P"],
  "frac_coords": [[0.000, 0.000, 0.000], [0.750, 0.750, 0.750], [0.500, 0.500, 0.500]]
}

=====

Record 3
{
  "formula": "TaIn2W",
  "functional": "GGA-PBE",
  "state": "relaxed",
  "space_group": "P4/mmm",
  "delta_e_f_ev_per_atom": 0.5343,
  "e_above_lowest_polymorph_ev_per_atom": 0.216,
  "lattice": [[2.900, 0.000, 0.000], [0.000, 2.900, 0.000], [0.000, 0.000, 9.099]],
  "species": ["Ta", "In", "In", "W"],
  "frac_coords": [[0.000, 0.000, 0.000], [0.500, 0.500, 0.253], [0.500, 0.500, 0.747], [0.000, 0.000, 0.500]]
}

=====

Record 4
{
  "formula": "PrTe2As2Pd7",
  "functional": "GGA-PBE",
  "state": "relaxed",
  "space_group": "C2/m",
  "raw_formation_energy_ev_per_atom": -0.390,
  "lattice": [[3.011, -3.578, 0.000], [3.011, 3.578, 0.000], [-0.998, 0.000, 11.641]],
  "species": ["Pr", "Te", "Te", "As", "As", "Pd", "Pd", "Pd", "Pd", "Pd", "Pd", "Pd"],
  "frac_coords": [[0.000, 0.000, 0.000], [0.166, 0.166, 0.386], [0.834, 0.834, 0.614], [0.306, 0.306, 0.810], [0.694, 0.694, 0.190], [0.165, 0.556, 0.225], [0.359, 0.359, 0.598], [0.444, 0.835, 0.775], [0.500, 0.500, 0.000], [0.556, 0.165, 0.225], [0.641, 0.641, 0.402], [0.835, 0.444, 0.775]]
}

=====

Record 5
{
  "formula": "K2Mg",
  "functional": "GGA-PBE",
  "state": "relaxed",
  "space_group": "Immm",
  "delta_e_f_ev_per_atom": 0.1839,
  "e_above_lowest_polymorph_ev_per_atom": 0.048,
  "lattice": [[-2.138, 2.623, 6.693], [2.138, -2.623, 6.693], [2.138, 2.623, -6.693]],
  "species": ["K", "K", "Mg"],
  "frac_coords": [[0.150, 0.150, 0.000], [0.850, 0.850, 0.000], [0.500, 0.500, 0.000]]
}

=====

Record 6
{
  "formula": "Sm4InAgHg2",
  "functional": "GGA-PBE",
  "state": "relaxed",
  "space_group": "R-3m",
  "delta_e_f_ev_per_atom": -0.4159,
  "lattice": [[2.672, 1.543, 8.765], [-2.672, 1.543, 8.765], [0.000, -3.086, 8.765]],
  "species": ["Sm", "Sm", "Sm", "Sm", "In", "Ag", "Hg", "Hg"],
  "frac_coords": [[0.122, 0.122, 0.122], [0.373, 0.373, 0.373], [0.627, 0.627, 0.627], [0.878, 0.878, 0.878], [0.500, 0.500, 0.500], [0.000, 0.000, 0.000], [0.248, 0.248, 0.248], [0.752, 0.752, 0.752]]
}

=====

Record 7
{
  "formula": "Sr3InO",
  "functional": "GGA-PBE",
  "state": "relaxed",
  "space_group": "C2/c",
  "raw_formation_energy_ev_per_atom": -1.175,
  "lattice": [[6.721, -8.138, 0.000], [6.721, 8.138, 0.000], [-0.916, 0.000, 6.456]],
  "species": ["Sr", "Sr", "Sr", "Sr", "Sr", "Sr", "Sr", "Sr", "Sr", "Sr", "Sr", "Sr", "In", "In", "In", "In", "O", "O", "O", "O"],
  "frac_coords": [[0.005, 0.805, 0.968], [0.195, 0.995, 0.532], [0.209, 0.595, 0.472], [0.319, 0.446, 0.960], [0.405, 0.791, 0.028], [0.446, 0.319, 0.460], [0.554, 0.681, 0.540], [0.595, 0.209, 0.972], [0.681, 0.554, 0.040], [0.791, 0.405, 0.528], [0.805, 0.005, 0.468], [0.995, 0.195, 0.032], [0.083, 0.277, 0.552], [0.277, 0.083, 0.052], [0.723, 0.917, 0.948], [0.917, 0.723, 0.448], [0.385, 0.615, 0.750], [0.387, 0.613, 0.250], [0.613, 0.387, 0.750], [0.615, 0.385, 0.250]]
}

=====

Record 8
{
  "formula": "DyHo12Tm6",
  "functional": "GGA-PBE",
  "state": "relaxed",
  "space_group": "R-3m",
  "delta_e_f_ev_per_atom": 0.4485,
  "e_above_lowest_polymorph_ev_per_atom": 0.288,
  "lattice": [[7.435, 4.293, 3.324], [-7.435, 4.293, 3.324], [0.000, -8.585, 3.324]],
  "species": ["Dy", "Ho", "Ho", "Ho", "Ho", "Ho", "Ho", "Ho", "Ho", "Ho", "Ho", "Ho", "Ho", "Tm", "Tm", "Tm", "Tm", "Tm", "Tm"],
  "frac_coords": [[0.000, 0.000, 0.000], [0.111, 0.500, 0.889], [0.111, 0.889, 0.500], [0.137, 0.358, 0.358], [0.358, 0.137, 0.358], [0.358, 0.358, 0.137], [0.500, 0.111, 0.889], [0.500, 0.889, 0.111], [0.642, 0.642, 0.863], [0.642, 0.863, 0.642], [0.863, 0.642, 0.642], [0.889, 0.111, 0.500], [0.889, 0.500, 0.111], [0.271, 0.686, 0.686], [0.314, 0.314, 0.729], [0.314, 0.729, 0.314], [0.686, 0.271, 0.686], [0.686, 0.686, 0.271], [0.729, 0.314, 0.314]]
}

=====

Record 9
{
  "formula": "Tl2ZnNi",
  "functional": "GGA-PBE",
  "state": "relaxed",
  "space_group": "R3m",
  "delta_e_f_ev_per_atom": 0.2310,
  "e_above_lowest_polymorph_ev_per_atom": 0.098,
  "lattice": [[1.716, 0.991, 8.547], [-1.716, 0.991, 8.547], [0.000, -1.981, 8.547]],
  "species": ["Tl", "Tl", "Zn", "Ni"],
  "frac_coords": [[0.000, 0.000, 0.000], [0.220, 0.220, 0.220], [0.461, 0.461, 0.461], [0.739, 0.739, 0.739]]
}

=====

Record 10
{
  "formula": "CuB2Mo2",
  "functional": "GGA-PBE",
  "state": "relaxed",
  "space_group": "P4/mbm",
  "delta_e_f_ev_per_atom": -0.2507,
  "lattice": [[5.784, 0.000, 0.000], [0.000, 5.784, 0.000], [0.000, 0.000, 3.203]],
  "species": ["Cu", "Cu", "B", "B", "B", "B", "Mo", "Mo", "Mo", "Mo"],
  "frac_coords": [[0.000, 0.000, 0.000], [0.500, 0.500, 0.000], [0.110, 0.390, 0.000], [0.390, 0.890, 0.000], [0.610, 0.110, 0.000], [0.890, 0.610, 0.000], [0.176, 0.676, 0.500], [0.324, 0.176, 0.500], [0.676, 0.824, 0.500], [0.824, 0.324, 0.500]]
}

=====

Record 11
{
  "formula": "RbNbSe",
  "functional": "GGA-PBE",
  "state": "relaxed",
  "space_group": "P4/nmm",
  "raw_formation_energy_ev_per_atom": -0.622,
  "lattice": [[4.022, 0.000, 0.000], [0.000, 4.022, 0.000], [0.000, 0.000, 11.911]],
  "species": ["Rb", "Rb", "Nb", "Nb", "Se", "Se"],
  "frac_coords": [[0.250, 0.250, 0.183], [0.750, 0.750, 0.817], [0.250, 0.750, 0.500], [0.750, 0.250, 0.500], [0.250, 0.250, 0.651], [0.750, 0.750, 0.349]]
}

=====

Record 12
{
  "formula": "Mn3SiOs",
  "functional": "GGA-PBE",
  "state": "relaxed",
  "space_group": "Pm-3m",
  "raw_formation_energy_ev_per_atom": 1.112,
  "lattice": [[4.082, 0.000, 0.000], [0.000, 4.082, 0.000], [0.000, 0.000, 4.082]],
  "species": ["Mn", "Mn", "Mn", "Si", "Os"],
  "frac_coords": [[0.000, 0.000, 0.500], [0.000, 0.500, 0.000], [0.500, 0.000, 0.000], [0.000, 0.000, 0.000], [0.500, 0.500, 0.500]]
}

=====

| no. | D(E_F) (states/eV per cell) |
| --- | --- |
| 1 | 5.997 |
| 2 | 2.339 |
| 3 | 3.433 |
| 4 | 5.553 |
| 5 | 1.856 |
| 6 | 9.480 |
| 7 | 2.901 |
| 8 | 25.356 |
| 9 | 3.412 |
| 10 | 7.031 |
| 11 | 2.497 |
| 12 | 6.391 |